! PrTl2Hg5 | Alexandria via LeMat-Bulk | PBE | relaxed; values from VASP
! SG: I4/mcm
! Distance to the lowest polymorph of the same formula (meV/atom): 85
&SYSTEM
  ibrav = 0, nat = 16, ntyp = 3
/
ATOMIC_SPECIES
Tl 204.38 Tl.upf
Pr 140.91 Pr.upf
Hg 200.59 Hg.upf
CELL_PARAMETERS angstrom
-5.695 3.854 4.621
-5.740 -5.388 -2.581
7.159 -3.209 4.072
ATOMIC_POSITIONS angstrom
Tl -6.840 -3.226 -0.583
Tl -2.863 -1.281 -0.190
Tl -8.572 -0.253 2.230
Tl -4.596 1.692 2.622
Pr 0.721 -1.988 2.546
Pr -4.997 -2.755 3.566
Hg -1.925 -6.677 1.013
Hg -2.364 -0.782 2.982
Hg -1.912 -3.960 3.130
Hg -2.351 1.935 5.099
Hg -0.215 -0.473 5.373
Hg 0.000 0.000 0.000
Hg -5.718 -0.767 1.020
Hg -0.699 -3.819 0.139
Hg -3.577 -0.924 5.973
Hg -4.062 -4.270 0.739

---

! Pr6Tl5Hg | Alexandria via LeMat-Bulk | PBE | relaxed; values from VASP
! SG: C2/m
! Distance to the lowest polymorph of the same formula (meV/atom): 134
&SYSTEM
  ibrav = 0, nat = 12, ntyp = 3
/
ATOMIC_SPECIES
Tl 204.38 Tl.upf
Pr 140.91 Pr.upf
Hg 200.59 Hg.upf
CELL_PARAMETERS angstrom
6.785 0.123 0.000
2.134 9.817 0.000
1.067 4.909 5.928
ATOMIC_POSITIONS angstrom
Tl 1.067 4.909 1.902
Tl 5.526 9.879 2.079
Tl 4.459 4.970 0.000
Tl 4.459 4.970 3.849
Tl 2.134 9.817 4.026
Pr 5.652 2.505 1.953
Pr 4.334 12.344 3.975
Pr 2.240 2.412 0.000
Pr 3.267 7.435 1.953
Pr 6.678 7.528 0.000
Pr 6.719 7.414 3.975
Hg 0.000 0.000 0.000

---

! Pr2TlHg | Alexandria via LeMat-Bulk | PBE | relaxed; values from VASP
! SG: Fm-3m
&SYSTEM
  ibrav = 0, nat = 4, ntyp = 3
/
ATOMIC_SPECIES
Pr 140.91 Pr.upf
Hg 200.59 Hg.upf
Tl 204.38 Tl.upf
CELL_PARAMETERS angstrom
5.524 0.000 0.000
2.762 4.784 0.000
2.762 1.595 4.510
ATOMIC_POSITIONS angstrom
Pr 11.049 6.379 4.511
Pr 5.524 3.190 2.255
Hg 2.762 1.595 1.128
Tl 8.287 4.784 3.383

---

! Pr3Tl4Hg2 | Alexandria via LeMat-Bulk | PBE | relaxed; values from VASP
! SG: C2/m
! Distance to the lowest polymorph of the same formula (meV/atom): 0
&SYSTEM
  ibrav = 0, nat = 9, ntyp = 3
/
ATOMIC_SPECIES
Hg 200.59 Hg.upf
Tl 204.38 Tl.upf
Pr 140.91 Pr.upf
CELL_PARAMETERS angstrom
-4.746 -1.501 -0.807
3.578 -4.417 2.932
-3.178 6.827 5.992
ATOMIC_POSITIONS angstrom
Hg -3.024 -0.138 2.289
Hg -1.322 1.047 5.829
Tl -2.336 3.414 7.387
Tl -2.010 -2.506 0.731
Tl -3.276 -1.217 5.777
Tl -1.070 2.126 2.341
Pr -4.099 2.110 4.430
Pr 0.000 0.000 0.000
Pr -0.247 -1.201 3.688

---

! Pr3TlHg2 | Alexandria via LeMat-Bulk | PBE | relaxed; values from VASP
! SG: Cmmm
&SYSTEM
  ibrav = 0, nat = 6, ntyp = 3
/
ATOMIC_SPECIES
Pr 140.91 Pr.upf
Hg 200.59 Hg.upf
Tl 204.38 Tl.upf
CELL_PARAMETERS angstrom
-2.096 -2.136 2.490
0.145 -4.231 -3.506
6.890 -0.583 5.298
ATOMIC_POSITIONS angstrom
Pr 1.311 -1.982 2.446
Pr 3.629 -4.968 1.836
Pr -0.975 -3.183 -0.508
Hg 4.647 -1.801 2.366
Hg 2.388 -3.013 -0.574
Tl 0.000 0.000 0.000

---

! Pr5TlHg | Alexandria via LeMat-Bulk | PBE | relaxed; values from VASP
! SG: C2/c
&SYSTEM
  ibrav = 0, nat = 14, ntyp = 3
/
ATOMIC_SPECIES
Pr 140.91 Pr.upf
Hg 200.59 Hg.upf
Tl 204.38 Tl.upf
CELL_PARAMETERS angstrom
6.367 -1.228 -0.982
0.855 6.428 -0.982
1.366 0.983 10.900
ATOMIC_POSITIONS angstrom
Pr 2.709 6.014 7.193
Pr 7.697 2.068 7.755
Pr 0.891 4.115 1.180
Pr 2.565 3.044 4.774
Pr 4.383 1.958 10.224
Pr 5.880 0.169 1.743
Pr 3.720 6.151 2.305
Pr 6.023 3.139 4.161
Pr 4.205 4.225 -1.289
Pr 4.868 0.032 6.630
Hg 0.683 0.492 5.450
Hg 0.000 0.000 0.000
Tl 4.675 3.282 7.193
Tl 3.913 2.901 1.743

---

Number 1: formation enthalpy at 0 K -121 meV/atom. Number 2: formation enthalpy at 0 K -271 meV/atom. Number 3: formation enthalpy at 0 K -431 meV/atom. Number 4: formation enthalpy at 0 K -338 meV/atom. Number 5: formation enthalpy at 0 K -440 meV/atom. Number 6: formation enthalpy at 0 K -119 meV/atom.